Entry 1:
# TbAgAu | OQMD via LeMat-Bulk | PBE-GGA | relaxed
# theoretical density	12.0	g/cm³
# E above lowest polymorph	0.05	eV per formula unit
# DFT formation energy	-607	meV per atom
# electronic total energy	-0.307	Ry/atom
# total magnetic moment	0.0	μB/f.u.
data_TbAgAu
_cell_length_a 3.7535
_cell_length_b 3.7535
_cell_length_c 9.1317
_cell_angle_alpha 90.00
_cell_angle_beta 90.00
_cell_angle_gamma 90.00
_symmetry_space_group_name_H-M 'P 1'
_symmetry_Int_Tables_number 1
_symmetry_space_group_name_Hall 'P 1'
loop_
_atom_site_label
_atom_site_type_symbol
_atom_site_fract_x
_atom_site_fract_y
_atom_site_fract_z
_atom_site_occupancy
Ag1 Ag 0.0000 0.0000 0.3331 1
Ag2 Ag 0.0000 0.0000 0.6669 1
Au1 Au 0.5000 0.5000 0.1670 1
Au2 Au 0.5000 0.5000 0.8330 1
Tb1 Tb 0.0000 0.0000 0.0000 1
Tb2 Tb 0.5000 0.5000 0.5000 1

Entry 2:
# TbAg6Au | OQMD via LeMat-Bulk | PBE-GGA | relaxed
# theoretical density	10.9	g/cm³
# DFT formation energy	-104	meV per atom
# electronic total energy	-0.236	Ry/atom
# total magnetic moment	0.0	μB/f.u.
data_TbAg6Au
_cell_length_a 4.9200
_cell_length_b 6.0058
_cell_length_c 5.1600
_cell_angle_alpha 90.00
_cell_angle_beta 90.00
_cell_angle_gamma 90.00
_symmetry_space_group_name_H-M 'P 1'
_symmetry_Int_Tables_number 1
_symmetry_space_group_name_Hall 'P 1'
loop_
_atom_site_label
_atom_site_type_symbol
_atom_site_fract_x
_atom_site_fract_y
_atom_site_fract_z
_atom_site_occupancy
Ag1 Ag 0.5000 0.0000 0.1619 1
Ag2 Ag 0.0000 0.2404 0.3418 1
Ag3 Ag 0.0000 0.7596 0.3418 1
Ag4 Ag 0.5000 0.2363 0.6631 1
Ag5 Ag 0.5000 0.7637 0.6631 1
Ag6 Ag 0.0000 0.5000 0.8141 1
Au1 Au 0.0000 0.0000 0.8506 1
Tb1 Tb 0.5000 0.5000 0.1637 1